## Ta2Ir (PBE)

Data for a geometry-optimized Ta2Ir structure.

The structure in POSCAR format:
```
Ta2Ir
1.0
1.496 -7.277 0.000
1.496 7.277 0.000
0.000 0.000 4.682
Ta Ir
4 2
Direct
0.073 0.927 0.750
0.253 0.747 0.250
0.747 0.253 0.750
0.927 0.073 0.250
0.402 0.598 0.750
0.598 0.402 0.250
```

Output
Raw total energy in eV/atom: -11.20
Crystal system: orthorhombic


## Pm5TlCd3 (PBE)

Data for a geometry-optimized Pm5TlCd3 structure.

The structure in POSCAR format:
```
Pm5TlCd3
1.0
9.506 0.000 0.000
-4.753 8.232 0.000
0.000 0.000 6.787
Pm Tl Cd
10 2 6
Direct
0.000 0.298 0.250
0.000 0.702 0.750
0.298 0.000 0.250
0.298 0.298 0.750
0.333 0.667 0.000
0.333 0.667 0.500
0.667 0.333 0.000
0.667 0.333 0.500
0.702 0.000 0.750
0.702 0.702 0.250
0.000 0.000 0.000
0.000 0.000 0.500
0.000 0.366 0.750
0.000 0.634 0.250
0.366 0.000 0.750
0.366 0.366 0.250
0.634 0.000 0.250
0.634 0.634 0.750
```

Output
Raw total energy in eV/atom: -3.45
Crystal system: hexagonal


## Na12Te5P2 (PBE)

Data for a geometry-optimized Na12Te5P2 structure.

The structure in POSCAR format:
```
Na12Te5P2
1.0
8.570 -3.638 0.000
8.570 3.638 0.000
-3.296 0.000 10.028
Na Te P
12 5 2
Direct
0.009 0.009 0.200
0.063 0.583 0.899
0.091 0.600 0.440
0.400 0.909 0.560
0.417 0.937 0.101
0.435 0.435 0.207
0.565 0.565 0.793
0.583 0.063 0.899
0.600 0.091 0.440
0.909 0.400 0.560
0.937 0.417 0.101
0.991 0.991 0.800
0.172 0.172 0.838
0.190 0.190 0.345
0.500 0.500 0.500
0.810 0.810 0.655
0.828 0.828 0.162
0.356 0.644 0.000
0.644 0.356 0.000
```

Output
Uncorrected formation energy in eV per atom: -0.70
Raw total energy in eV/atom: -2.93
Crystal system: monoclinic


## Y4Tm5Zr (PBE)

Data for a geometry-optimized Y4Tm5Zr structure.

The structure in POSCAR format:
```
Y4Tm5Zr
1.0
-5.198 5.198 2.905
5.198 -5.198 2.905
5.198 5.198 -2.905
Y Tm Zr
4 5 1
Direct
0.000 0.319 0.319
0.000 0.681 0.681
0.319 0.000 0.319
0.681 0.000 0.681
0.235 0.235 0.000
0.341 0.341 0.632
0.341 0.709 0.000
0.709 0.341 0.000
0.709 0.709 0.368
0.769 0.769 0.000
```

Output
Raw total energy in eV/atom: -5.44
Crystal system: tetragonal
Energy relative to the lowest polymorph listed for this composition in meV/atom: 177


## Nb8Au2C3 (PBE)

Data for a geometry-optimized Nb8Au2C3 structure.

The structure in POSCAR format:
```
Nb8Au2C3
1.0
6.801 -3.151 0.000
6.801 3.151 0.000
-1.323 0.000 5.291
Nb Au C
8 2 3
Direct
0.090 0.090 0.385
0.163 0.657 0.107
0.343 0.837 0.893
0.405 0.405 0.583
0.595 0.595 0.417
0.657 0.163 0.107
0.837 0.343 0.893
0.910 0.910 0.615
0.251 0.251 0.828
0.749 0.749 0.172
0.000 0.000 0.000
0.245 0.755 0.500
0.755 0.245 0.500
```

Output
Raw total energy in eV/atom: -8.87
Crystal system: monoclinic


## RbZn2Os (PBE)

Data for a geometry-optimized RbZn2Os structure.

The structure in POSCAR format:
```
RbZn2Os
1.0
0.000 3.431 3.431
3.431 0.000 3.431
3.431 3.431 0.000
Rb Zn Os
1 2 1
Direct
0.000 0.000 0.000
0.250 0.250 0.250
0.750 0.750 0.750
0.500 0.500 0.500
```

Output
Raw total energy in eV/atom: -2.56
Crystal system: cubic
Energy relative to the lowest polymorph listed for this composition in meV/atom: 329


## Hf3GaO (PBE)

Data for a geometry-optimized Hf3GaO structure.

The structure in POSCAR format:
```
Hf3GaO
1.0
4.396 0.000 0.000
0.000 4.396 0.000
0.000 0.000 4.396
Hf Ga O
3 1 1
Direct
0.000 0.000 0.500
0.000 0.500 0.000
0.500 0.000 0.000
0.500 0.500 0.500
0.000 0.000 0.000
```

Output
Uncorrected formation energy in eV per atom: -1.01
Raw total energy in eV/atom: -8.58
Crystal system: cubic


## LaBeRe2 (PBE)

Data for a geometry-optimized LaBeRe2 structure.

The structure in POSCAR format:
```
LaBeRe2
1.0
-1.338 2.455 5.101
1.338 -2.455 5.101
1.338 2.455 -5.101
La Be Re
1 1 2
Direct
0.000 0.000 0.000
0.500 0.500 0.000
0.293 0.793 0.500
0.707 0.207 0.500
```

Output
Raw total energy in eV/atom: -7.87
Crystal system: orthorhombic


## Pm3ZnGa2 (PBE)

Data for a geometry-optimized Pm3ZnGa2 structure.

The structure in POSCAR format:
```
Pm3ZnGa2
1.0
5.192 0.000 0.000
-2.596 4.497 0.000
0.000 0.000 12.709
Pm Zn Ga
6 2 4
Direct
0.000 0.000 0.250
0.000 0.000 0.750
0.333 0.667 0.417
0.333 0.667 0.917
0.667 0.333 0.083
0.667 0.333 0.583
0.333 0.667 0.168
0.667 0.333 0.832
0.000 0.000 0.000
0.000 0.000 0.500
0.333 0.667 0.671
0.667 0.333 0.329
```

Output
Raw total energy in eV/atom: -4.09
Crystal system: trigonal
Energy relative to the lowest polymorph listed for this composition in meV/atom: 0


## CaCoSi (PBE)

Data for a geometry-optimized CaCoSi structure.

The structure in POSCAR format:
```
CaCoSi
1.0
1.857 -5.360 0.000
1.857 5.360 0.000
0.000 0.000 5.224
Ca Co Si
2 2 2
Direct
0.207 0.793 0.750
0.793 0.207 0.250
0.500 0.500 0.000
0.500 0.500 0.500
0.062 0.938 0.250
0.938 0.062 0.750
```

Output
Uncorrected formation energy in eV per atom: -0.39
Raw total energy in eV/atom: -5.23
Crystal system: orthorhombic


## KLiAsPd (PBE)

Data for a geometry-optimized KLiAsPd structure.

The structure in POSCAR format:
```
KLiAsPd
1.0
2.176 1.256 5.908
-2.176 1.256 5.908
0.000 -2.513 5.908
K Li As Pd
1 1 1 1
Direct
0.000 0.000 0.000
0.816 0.816 0.816
0.196 0.196 0.196
0.520 0.520 0.520
```

Output
Raw total energy in eV/atom: -3.73
Crystal system: trigonal


## Ho4CdHg2Rh (PBE)

Data for a geometry-optimized Ho4CdHg2Rh structure.

The structure in POSCAR format:
```
Ho4CdHg2Rh
1.0
2.581 1.490 8.322
-2.581 1.490 8.322
0.000 -2.980 8.322
Ho Cd Hg Rh
4 1 2 1
Direct
0.114 0.114 0.114
0.368 0.368 0.368
0.632 0.632 0.632
0.886 0.886 0.886
0.500 0.500 0.500
0.240 0.240 0.240
0.760 0.760 0.760
0.000 0.000 0.000
```

Output
Raw total energy in eV/atom: -3.94
Crystal system: trigonal


## Al2SiBr (PBE)

Data for a geometry-optimized Al2SiBr structure.

The structure in POSCAR format:
```
Al2SiBr
1.0
3.287 0.000 0.000
0.000 4.810 0.000
-1.508 0.000 5.134
Al Si Br
2 1 1
Direct
0.137 0.000 0.275
0.863 0.000 0.725
0.500 0.500 0.500
0.500 0.500 0.000
```

Output
Uncorrected formation energy in eV per atom: 0.35
Raw total energy in eV/atom: -3.29
Crystal system: monoclinic
Energy relative to the lowest polymorph listed for this composition in meV/atom: 389


## Tb8TmSc6 (PBE)

Data for a geometry-optimized Tb8TmSc6 structure.

The structure in POSCAR format:
```
Tb8TmSc6
1.0
4.707 2.718 5.713
-4.707 2.718 5.713
0.000 -5.435 5.713
Tb Tm Sc
8 1 6
Direct
0.093 0.093 0.093
0.139 0.564 0.272
0.272 0.139 0.564
0.436 0.728 0.861
0.564 0.272 0.139
0.728 0.861 0.436
0.861 0.436 0.728
0.907 0.907 0.907
0.500 0.500 0.500
0.117 0.790 0.556
0.210 0.444 0.883
0.444 0.883 0.210
0.556 0.117 0.790
0.790 0.556 0.117
0.883 0.210 0.444
```

Output
Raw total energy in eV/atom: -5.11
Crystal system: trigonal
Energy relative to the lowest polymorph listed for this composition in meV/atom: 0


## Ca4ZnSi (PBE)

Data for a geometry-optimized Ca4ZnSi structure.

The structure in POSCAR format:
```
Ca4ZnSi
1.0
0.000 4.602 4.602
4.602 0.000 4.602
4.602 4.602 0.000
Ca Zn Si
4 1 1
Direct
0.124 0.124 0.124
0.124 0.124 0.628
0.124 0.628 0.124
0.628 0.124 0.124
0.500 0.500 0.500
0.750 0.750 0.750
```

Output
Uncorrected formation energy in eV per atom: 0.54
Raw total energy in eV/atom: -1.91
Crystal system: cubic


## InAgBiS4 (PBE)

Data for a geometry-optimized InAgBiS4 structure.

The structure in POSCAR format:
```
InAgBiS4
1.0
-3.914 3.929 5.616
3.914 -3.929 5.616
3.914 3.929 -5.616
In Ag Bi S
2 2 2 8
Direct
0.500 0.000 0.000
0.500 0.500 0.500
0.115 0.365 0.750
0.885 0.635 0.250
0.000 0.000 0.000
0.500 0.000 0.500
0.261 0.260 0.499
0.261 0.761 0.001
0.266 0.245 0.021
0.276 0.755 0.521
0.724 0.245 0.479
0.734 0.755 0.979
0.739 0.239 0.999
0.739 0.740 0.501
```

Output
Uncorrected formation energy in eV per atom: -0.27
Raw total energy in eV/atom: -3.99
Crystal system: orthorhombic


## BeTl2Cr (PBE)

Data for a geometry-optimized BeTl2Cr structure.

The structure in POSCAR format:
```
BeTl2Cr
1.0
1.667 0.963 8.529
-1.667 0.963 8.529
0.000 -1.925 8.529
Be Tl Cr
1 2 1
Direct
0.000 0.000 0.000
0.257 0.257 0.257
0.743 0.743 0.743
0.500 0.500 0.500
```

Output
Raw total energy in eV/atom: -3.78
Crystal system: trigonal
Energy relative to the lowest polymorph listed for this composition in meV/atom: 211


## AgIrAu2 (PBE)

Data for a geometry-optimized AgIrAu2 structure.

The structure in POSCAR format:
```
AgIrAu2
1.0
1.417 -2.442 0.000
1.417 2.442 0.000
0.000 0.000 9.914
Ag Ir Au
1 1 2
Direct
0.000 0.000 0.000
0.000 0.000 0.500
0.500 0.500 0.254
0.500 0.500 0.746
```

Output
Raw total energy in eV/atom: -4.31
Crystal system: orthorhombic
Energy relative to the lowest polymorph listed for this composition in meV/atom: 33


## MgTaGaTe2 (PBE)

Data for a geometry-optimized MgTaGaTe2 structure.

The structure in POSCAR format:
```
MgTaGaTe2
1.0
5.429 0.000 0.000
0.000 5.429 0.000
0.000 0.000 4.692
Mg Ta Ga Te
1 1 1 2
Direct
0.000 0.000 0.000
0.500 0.500 0.000
0.000 0.000 0.500
0.000 0.500 0.500
0.500 0.000 0.500
```

Output
Uncorrected formation energy in eV per atom: 1.01
Raw total energy in eV/atom: -3.54
Crystal system: tetragonal


## Cu4HgAs (PBE)

Data for a geometry-optimized Cu4HgAs structure.

The structure in POSCAR format:
```
Cu4HgAs
1.0
0.000 3.547 3.547
3.547 0.000 3.547
3.547 3.547 0.000
Cu Hg As
4 1 1
Direct
0.125 0.125 0.125
0.125 0.125 0.625
0.125 0.625 0.125
0.625 0.125 0.125
0.750 0.750 0.750
0.500 0.500 0.500
```

Output
Raw total energy in eV/atom: -3.37
Crystal system: cubic